VASP calculation (PBE) on PuGa3Pd2 after structural relaxation.

Values from the calculation:
ΔE_f: -248 kJ/mol of formula units
magnetization: 5.74 μB/f.u.
total energy: -6.06 eV/atom

abc: 7.9552 7.9552 7.9552
angles: 44.06 44.06 44.06
With the nearest neighbours (Å) after each atom.
Element x y z (fractional)
Pu: 0.2076 0.2076 0.2076  9 Ga 3.05-3.07, 3 Pd 3.21
Pu: 0.7924 0.7924 0.7924  9 Ga 3.05-3.07, 3 Pd 3.21
Ga: 0.2495 0.7369 0.7369  3 Pd 2.61-2.66, 2 Ga 2.91
Ga: 0.2631 0.2631 0.7505  3 Pd 2.61-2.66, 2 Ga 2.91
Ga: 0.2631 0.7505 0.2631  3 Pd 2.61-2.66, 2 Ga 2.91
Ga: 0.7369 0.2495 0.7369  3 Pd 2.61-2.66, 2 Ga 2.91
Ga: 0.7369 0.7369 0.2495  3 Pd 2.61-2.66, 2 Ga 2.91
Ga: 0.7505 0.2631 0.2631  3 Pd 2.61-2.66, 2 Ga 2.91
Pd: 0.0000 0.0000 0.0000  6 Ga 2.66
Pd: 0.0000 0.5000 0.5000  4 Ga 2.61
Pd: 0.5000 0.0000 0.5000  4 Ga 2.61
Pd: 0.5000 0.5000 0.0000  4 Ga 2.61